Compound: BaNaLiBr4
Source: Alexandria
Functional: PBE
Structure: optimized geometry

The value obtained for the final energy is -48.54 eV for the cell shown. Its uncorrected formation energy is -12.4 eV/f.u.

The space group is P2_1/m (No. 11) and the conventional cell measures 7.2078, 7.4811 and 8.7142 Å, with angles of 90.00, 106.49 and 90.00 degrees. The distinct sites, in fractional coordinates, are Ba at (0.2379, 0.2500, 0.0603), Na at (0.2282, 0.2500, 0.5604), Li at (0.2422, 0.7500, 0.3249), Br at (0.0042, 0.0012, 0.7461), Br at (0.4326, 0.7500, 0.1242) and Br at (0.4637, 0.7500, 0.5964).